Density functional theory data (PBE-GGA) for a relaxed BaCd2PtAu4 crystal.

Cell lengths 10.173, 10.173, 10.173 Å; angles 26.56, 26.56, 26.56 degrees
Sites, in units of the cell vectors:
Ba (0.000, 0.000, 0.000)
Cd (0.232, 0.232, 0.232)
Cd (0.768, 0.768, 0.768)
Pt (0.500, 0.500, 0.500)
Au (0.132, 0.132, 0.132)
Au (0.404, 0.404, 0.404)
Au (0.596, 0.596, 0.596)
Au (0.868, 0.868, 0.868)

Its formation energy is -25.5 kJ per mole of atoms. The crystal system is trigonal.